Entry 1:
Entry from the Alexandria database: a geometry-optimized YMgP2O structure (PBE-GGA).

Computed properties:
Its excess energy over the best structure of this formula in the dataset is 0.251 eV/atom. The calculation puts the uncorrected formation energy at -1.34 eV/f.u. The space group is No. 123.

abc: 5.4133 5.4133 4.1950
angles: 90.00 90.00 90.00
With the nearest neighbours (Å) after each atom.
Sites, in units of the cell vectors:
P: 0.0000 0.5000 0.0000  2 Y 2.71
Y: 0.0000 0.0000 0.0000  2 O 2.10
O: 0.0000 0.0000 0.5000  2 Y 2.10
P: 0.5000 0.0000 0.0000  2 Y 2.71
Mg: 0.5000 0.5000 0.5000  8 P 3.42, 4 O 3.83



Entry 2:
Entry from the Alexandria database: a geometry-optimized YMgPO2 structure (PBE-GGA).

Computed properties:
Its excess energy over the best structure of this formula in the dataset is 0.000 eV/atom. The calculation puts the uncorrected formation energy at -5.97 eV/f.u. The space group is No. 123.

abc: 3.9918 3.9918 4.8844
angles: 90.00 90.00 90.00
With the nearest neighbours (Å) after each atom.
Sites, in units of the cell vectors:
P: 0.0000 0.0000 0.5000  2 Mg 2.44
Mg: 0.0000 0.0000 0.0000  4 O 2.00
O: 0.0000 0.5000 0.0000  2 Mg 2.00
Y: 0.5000 0.5000 0.5000  4 P 2.82, 8 O 3.15
O: 0.5000 0.0000 0.0000  2 Mg 2.00



Entry 3:
Entry from the Alexandria database: a geometry-optimized YMgP2O structure (PBE-GGA).

Computed properties:
Its excess energy over the best structure of this formula in the dataset is 0.000 eV/atom. The calculation puts the uncorrected formation energy at -2.60 eV/f.u. The space group is No. 123.

abc: 4.9783 4.9783 3.7370
angles: 90.00 90.00 90.00
With the nearest neighbours (Å) after each atom.
Sites, in units of the cell vectors:
O: 0.0000 0.0000 0.5000  2 Mg 1.87
Y: 0.5000 0.5000 0.5000  8 P 3.11
P: 0.0000 0.5000 0.0000  2 Mg 2.49
P: 0.5000 0.0000 0.0000  2 Mg 2.49
Mg: 0.0000 0.0000 0.0000  2 O 1.87



Entry 4:
Entry from the Alexandria database: a geometry-optimized YMgPO2 structure (PBE-GGA).

Computed properties:
Its excess energy over the best structure of this formula in the dataset is 0.149 eV/atom. The calculation puts the uncorrected formation energy at -5.23 eV/f.u. The space group is No. 123.

abc: 4.2460 4.2460 5.7902
angles: 90.00 90.00 90.00
With the nearest neighbours (Å) after each atom.
Sites, in units of the cell vectors:
Mg: 0.5000 0.5000 0.5000  4 P 3.00
P: 0.0000 0.0000 0.5000  2 Y 2.90, 4 Mg 3.00
O: 0.0000 0.5000 0.0000  2 Y 2.12
Y: 0.0000 0.0000 0.0000  4 O 2.12
O: 0.5000 0.0000 0.0000  2 Y 2.12



Entry 5:
Entry from the Alexandria database: a geometry-optimized MgZnPO2 structure (PBE-GGA).

Computed properties:
Its excess energy over the best structure of this formula in the dataset is 0.000 eV/atom. The calculation puts the uncorrected formation energy at -1.00 eV/f.u. The space group is No. 123.

abc: 3.7982 3.7982 5.6284
angles: 90.00 90.00 90.00
With the nearest neighbours (Å) after each atom.
Sites, in units of the cell vectors:
Zn: 0.5000 0.5000 0.5000  4 P 2.69
Mg: 0.0000 0.0000 0.0000  4 O 1.90
O: 0.0000 0.5000 0.0000  2 Mg 1.90
O: 0.5000 0.0000 0.0000  2 Mg 1.90
P: 0.0000 0.0000 0.5000  4 Zn 2.69, 2 Mg 2.81



Entry 6:
Entry from the Alexandria database: a geometry-optimized MgZnPO2 structure (PBE-GGA).

Computed properties:
Its excess energy over the best structure of this formula in the dataset is 0.060 eV/atom. The calculation puts the uncorrected formation energy at -0.69 eV/f.u. The space group is No. 123.

abc: 3.8295 3.8295 4.9736
angles: 90.00 90.00 90.00
With the nearest neighbours (Å) after each atom.
Sites, in units of the cell vectors:
P: 0.0000 0.0000 0.5000  2 Zn 2.49, 4 Mg 2.71
Zn: 0.0000 0.0000 0.0000  4 O 1.91
O: 0.5000 0.0000 0.0000  2 Zn 1.91
Mg: 0.5000 0.5000 0.5000  4 P 2.71
O: 0.0000 0.5000 0.0000  2 Zn 1.91



Entry 7:
Entry from the Alexandria database: a geometry-optimized MgZnP2O structure (PBE-GGA).

Computed properties:
Its excess energy over the best structure of this formula in the dataset is 0.082 eV/atom. The calculation puts the uncorrected formation energy at 1.78 eV/f.u. The space group is No. 123.

abc: 5.0549 5.0549 3.5835
angles: 90.00 90.00 90.00
With the nearest neighbours (Å) after each atom.
Sites, in units of the cell vectors:
P: 0.5000 0.0000 0.0000  2 Mg 2.53
Zn: 0.5000 0.5000 0.5000  8 P 3.10
Mg: 0.0000 0.0000 0.0000  2 O 1.79
O: 0.0000 0.0000 0.5000  2 Mg 1.79
P: 0.0000 0.5000 0.0000  2 Mg 2.53



Entry 8:
Entry from the Alexandria database: a geometry-optimized MgZnP2O structure (PBE-GGA).

Computed properties:
Its excess energy over the best structure of this formula in the dataset is 0.000 eV/atom. The calculation puts the uncorrected formation energy at 1.37 eV/f.u. The space group is No. 123.

abc: 4.9532 4.9532 3.5807
angles: 90.00 90.00 90.00
With the nearest neighbours (Å) after each atom.
Sites, in units of the cell vectors:
Zn: 0.0000 0.0000 0.0000  2 O 1.79
Mg: 0.5000 0.5000 0.5000  8 P 3.06
P: 0.0000 0.5000 0.0000  2 Zn 2.48
P: 0.5000 0.0000 0.0000  2 Zn 2.48
O: 0.0000 0.0000 0.5000  2 Zn 1.79



Question: Look up the excess energy over the best structure of this formula in the dataset of the eighth one.
Answer: 0.000 eV/atom